Entry from the Alexandria database: an optimized crystal structure of LiSc2TiHg (PBE).

**Crystal system**: tetragonal
**Total DFT energy (no corrections)**: -19.57 eV/cell
**D(E_F)**: 6.58 states/eV per cell
**E_form**: 641.6 meV/atom
**Density**: 3.9 Mg/m³

a = 5.345 Å, b = 5.345 Å, c = 5.158 Å
α = 90.00°, β = 90.00°, γ = 90.00°
Atoms (fractional coordinates):
Li1 0.000 0.000 0.000
Sc1 0.000 0.500 0.500
Sc2 0.500 0.000 0.500
Ti1 0.500 0.500 0.000
Hg1 0.500 0.500 0.500